Hf2VBi: relaxed, PBE.

Computed properties:
* DFT formation energy: 0.029 eV per atom
* symmetry: P4/mmm, No. 123
* VASP energy: -0.6025 Ry per atom
* energy relative to the lowest polymorph listed for this composition: 0 meV per atom
* crystal system: tetragonal

abc: 3.6074 3.6074 6.3718
angles: 90.00 90.00 90.00
Atoms (fractional coordinates):
Hf  0.0000  0.0000  0.2299
Hf  0.0000  0.0000  0.7701
V  0.5000  0.5000  0.0000
Bi  0.5000  0.5000  0.5000